# Fe2HgMo

A relaxed Fe2HgMo crystal (GGA-PBE, the Alexandria database).

Structure (CIF):
```
data_Fe2HgMo
_cell_length_a 4.8088
_cell_length_b 4.8088
_cell_length_c 4.8088
_cell_angle_alpha 132.68
_cell_angle_beta 132.68
_cell_angle_gamma 69.16
_space_group_name_H-M_alt 'P 1'
_space_group_IT_number 1
loop_
_space_group_symop_operation_xyz
'x,y,z'
loop_
_atom_site_label
_atom_site_fract_x
_atom_site_fract_y
_atom_site_fract_z
Fe1 0.0000 0.0000 0.0000
Fe2 0.2500 0.7500 0.5000
Hg1 0.5000 0.5000 0.0000
Mo1 0.7500 0.2500 0.5000
```

Calculated values
density	11.49	g/cm³
DOS at the Fermi energy	3.7	states/eV per cell
SG	I-4m2, No. 119
formation energy	2.05	eV per formula unit
E_tot	-26.0	eV/cell
M_tot	3.51	μB per formula unit

=====

# PmDy3Sc3

A relaxed PmDy3Sc3 crystal (GGA-PBE, the Alexandria database).

Structure (CIF):
```
data_PmDy3Sc3
_cell_length_a 6.6605
_cell_length_b 6.4562
_cell_length_c 6.4562
_cell_angle_alpha 108.82
_cell_angle_beta 110.11
_cell_angle_gamma 110.11
_space_group_name_H-M_alt 'P 1'
_space_group_IT_number 1
loop_
_space_group_symop_operation_xyz
'x,y,z'
loop_
_atom_site_label
_atom_site_fract_x
_atom_site_fract_y
_atom_site_fract_z
Pm1 0.4892 0.0000 0.0000
Dy1 0.5636 0.5832 0.5832
Dy2 0.9804 0.0000 0.4168
Dy3 0.9804 0.4168 0.0000
Sc1 0.0037 0.5249 0.5249
Sc2 0.4788 0.0000 0.4751
Sc3 0.4788 0.4751 0.0000
```

Calculated values
density	6.01	g/cm³
DOS at the Fermi energy	11.5	states/eV per cell
SG	R3m, No. 160
formation energy	1.90	eV per formula unit
E_tot	-35.7	eV/cell
M_tot	0.00	μB per formula unit
energy above the most stable polymorph in this dataset	0.086	eV per atom

=====

# Ta2InPdRu

A relaxed Ta2InPdRu crystal (GGA-PBE, the Alexandria database).

Structure (CIF):
```
data_Ta2InPdRu
_cell_length_a 4.9558
_cell_length_b 4.7199
_cell_length_c 4.9558
_cell_angle_alpha 90.00
_cell_angle_beta 90.00
_cell_angle_gamma 90.00
_space_group_name_H-M_alt 'P 1'
_space_group_IT_number 1
loop_
_space_group_symop_operation_xyz
'x,y,z'
loop_
_atom_site_label
_atom_site_fract_x
_atom_site_fract_y
_atom_site_fract_z
Ru1 0.0000 0.5000 0.0000
In1 0.0000 0.0000 0.0000
Pd1 0.5000 0.5000 0.5000
Ta1 0.0000 0.0000 0.5000
Ta2 0.5000 0.0000 0.0000
```

Calculated values
density	9.80	g/cm³
DOS at the Fermi energy	4.4	states/eV per cell
SG	P4/mmm, No. 123
formation energy	10.60	eV per formula unit
E_tot	-30.3	eV/cell
M_tot	0.00	μB per formula unit

=====

# LaLu2V

A relaxed LaLu2V crystal (GGA-PBE, the Alexandria database).

Structure (CIF):
```
data_LaLu2V
_cell_length_a 3.5518
_cell_length_b 3.5518
_cell_length_c 8.7981
_cell_angle_alpha 90.00
_cell_angle_beta 90.00
_cell_angle_gamma 90.00
_space_group_name_H-M_alt 'P 1'
_space_group_IT_number 1
loop_
_space_group_symop_operation_xyz
'x,y,z'
loop_
_atom_site_label
_atom_site_fract_x
_atom_site_fract_y
_atom_site_fract_z
Lu1 0.0000 0.0000 0.8088
Lu2 0.0000 0.0000 0.1912
La1 0.5000 0.5000 0.5000
V1 0.5000 0.5000 0.0000
```

Calculated values
density	8.08	g/cm³
DOS at the Fermi energy	4.3	states/eV per cell
SG	P4/mmm, No. 123
formation energy	0.73	eV per formula unit
E_tot	-22.4	eV/cell
M_tot	3.49	μB per formula unit

=====

# CrCdB3

A relaxed CrCdB3 crystal (GGA-PBE, the Alexandria database).

Structure (CIF):
```
data_CrCdB3
_cell_length_a 3.9504
_cell_length_b 3.9504
_cell_length_c 3.9504
_cell_angle_alpha 90.00
_cell_angle_beta 90.00
_cell_angle_gamma 90.00
_space_group_name_H-M_alt 'P 1'
_space_group_IT_number 1
loop_
_space_group_symop_operation_xyz
'x,y,z'
loop_
_atom_site_label
_atom_site_fract_x
_atom_site_fract_y
_atom_site_fract_z
Cr1 0.0000 0.0000 0.0000
B1 0.0000 0.5000 0.0000
B2 0.0000 0.0000 0.5000
B3 0.5000 0.0000 0.0000
Cd1 0.5000 0.5000 0.5000
```

Calculated values
density	5.30	g/cm³
DOS at the Fermi energy	2.7	states/eV per cell
SG	Pm-3m, No. 221
formation energy	5.33	eV per formula unit
E_tot	-25.2	eV/cell
M_tot	0.15	μB per formula unit
energy above the most stable polymorph in this dataset	0.000	eV per atom

=====

# PrMnPt2

A relaxed PrMnPt2 crystal (GGA-PBE, the Alexandria database).

Structure (CIF):
```
data_PrMnPt2
_cell_length_a 3.4016
_cell_length_b 3.4016
_cell_length_c 6.7484
_cell_angle_alpha 90.00
_cell_angle_beta 90.00
_cell_angle_gamma 90.00
_space_group_name_H-M_alt 'P 1'
_space_group_IT_number 1
loop_
_space_group_symop_operation_xyz
'x,y,z'
loop_
_atom_site_label
_atom_site_fract_x
_atom_site_fract_y
_atom_site_fract_z
Pr1 0.5000 0.5000 0.5000
Mn1 0.5000 0.5000 0.0000
Pt1 0.0000 0.0000 0.7909
Pt2 0.0000 0.0000 0.2091
```

Calculated values
density	12.46	g/cm³
DOS at the Fermi energy	1.3	states/eV per cell
SG	P4/mmm, No. 123
formation energy	-2.38	eV per formula unit
E_tot	-28.4	eV/cell
M_tot	4.68	μB per formula unit

=====

# V3GePd

A relaxed V3GePd crystal (GGA-PBE, the Alexandria database).

Structure (CIF):
```
data_V3GePd
_cell_length_a 4.4692
_cell_length_b 4.4692
_cell_length_c 4.4692
_cell_angle_alpha 90.00
_cell_angle_beta 90.00
_cell_angle_gamma 90.00
_space_group_name_H-M_alt 'P 1'
_space_group_IT_number 1
loop_
_space_group_symop_operation_xyz
'x,y,z'
loop_
_atom_site_label
_atom_site_fract_x
_atom_site_fract_y
_atom_site_fract_z
Ge1 0.0000 0.0000 0.0000
Pd1 0.5000 0.5000 0.5000
V1 0.0000 0.5000 0.0000
V2 0.0000 0.0000 0.5000
V3 0.5000 0.0000 0.0000
```

Calculated values
density	6.17	g/cm³
DOS at the Fermi energy	5.3	states/eV per cell
SG	Pm-3m, No. 221
formation energy	4.62	eV per formula unit
E_tot	-32.6	eV/cell
M_tot	1.98	μB per formula unit
energy above the most stable polymorph in this dataset	0.000	eV per atom

=====

# SmBeAu4

A relaxed SmBeAu4 crystal (GGA-PBE, the Alexandria database).

Structure (CIF):
```
data_SmBeAu4
_cell_length_a 5.9636
_cell_length_b 5.9636
_cell_length_c 7.8338
_cell_angle_alpha 71.23
_cell_angle_beta 71.23
_cell_angle_gamma 62.25
_space_group_name_H-M_alt 'P 1'
_space_group_IT_number 1
loop_
_space_group_symop_operation_xyz
'x,y,z'
loop_
_atom_site_label
_atom_site_fract_x
_atom_site_fract_y
_atom_site_fract_z
Sm1 0.7908 0.7908 0.8021
Sm2 0.2092 0.2092 0.1979
Be1 0.5375 0.5375 0.1974
Be2 0.4625 0.4625 0.8026
Au1 0.7462 0.7462 0.2302
Au2 0.1440 0.6623 0.4092
Au3 0.2379 0.7621 0.0000
Au4 0.3377 0.8560 0.5908
Au5 0.2538 0.2538 0.7698
Au6 0.8560 0.3377 0.5908
Au7 0.7621 0.2379 0.0000
Au8 0.6623 0.1440 0.4092
```

Calculated values
density	13.77	g/cm³
DOS at the Fermi energy	5.9	states/eV per cell
SG	C2/m, No. 12
formation energy	-2.78	eV per formula unit
E_tot	-48.7	eV/cell
M_tot	0.00	μB per formula unit

=====

# CaBeCo

A relaxed CaBeCo crystal (GGA-PBE, the Alexandria database).

Structure (CIF):
```
data_CaBeCo
_cell_length_a 4.2328
_cell_length_b 4.2328
_cell_length_c 4.2328
_cell_angle_alpha 60.00
_cell_angle_beta 60.00
_cell_angle_gamma 60.00
_space_group_name_H-M_alt 'P 1'
_space_group_IT_number 1
loop_
_space_group_symop_operation_xyz
'x,y,z'
loop_
_atom_site_label
_atom_site_fract_x
_atom_site_fract_y
_atom_site_fract_z
Be1 0.0000 0.0000 0.0000
Ca1 0.5000 0.5000 0.5000
Co1 0.2500 0.2500 0.2500
```

Calculated values
density	3.34	g/cm³
DOS at the Fermi energy	2.9	states/eV per cell
SG	F-43m, No. 216
formation energy	2.02	eV per formula unit
E_tot	-10.8	eV/cell
M_tot	0.25	μB per formula unit
energy above the most stable polymorph in this dataset	0.509	eV per atom

=====

# LaSc3Co

A relaxed LaSc3Co crystal (GGA-PBE, the Alexandria database).

Structure (CIF):
```
data_LaSc3Co
_cell_length_a 5.1096
_cell_length_b 5.1096
_cell_length_c 5.1096
_cell_angle_alpha 90.00
_cell_angle_beta 90.00
_cell_angle_gamma 90.00
_space_group_name_H-M_alt 'P 1'
_space_group_IT_number 1
loop_
_space_group_symop_operation_xyz
'x,y,z'
loop_
_atom_site_label
_atom_site_fract_x
_atom_site_fract_y
_atom_site_fract_z
La1 0.0000 0.0000 0.0000
Sc1 0.0000 0.5000 0.0000
Sc2 0.0000 0.0000 0.5000
Sc3 0.5000 0.0000 0.0000
Co1 0.5000 0.5000 0.5000
```

Calculated values
density	4.14	g/cm³
DOS at the Fermi energy	6.7	states/eV per cell
SG	Pm-3m, No. 221
formation energy	6.86	eV per formula unit
E_tot	-24.2	eV/cell
M_tot	1.30	μB per formula unit
energy above the most stable polymorph in this dataset	1.491	eV per atom

=====

Among the records above, which one has the lowest density? CaBeCo

=====

Look up the formation energy of the fourth one. 0.73 eV per formula unit

=====

Please write out number 7 again, unchanged.
# V3GePd

A relaxed V3GePd crystal (GGA-PBE, the Alexandria database).

Structure (CIF):
```
data_V3GePd
_cell_length_a 4.4692
_cell_length_b 4.4692
_cell_length_c 4.4692
_cell_angle_alpha 90.00
_cell_angle_beta 90.00
_cell_angle_gamma 90.00
_space_group_name_H-M_alt 'P 1'
_space_group_IT_number 1
loop_
_space_group_symop_operation_xyz
'x,y,z'
loop_
_atom_site_label
_atom_site_fract_x
_atom_site_fract_y
_atom_site_fract_z
Ge1 0.0000 0.0000 0.0000
Pd1 0.5000 0.5000 0.5000
V1 0.0000 0.5000 0.0000
V2 0.0000 0.0000 0.5000
V3 0.5000 0.0000 0.0000
```

Calculated values
density	6.17	g/cm³
DOS at the Fermi energy	5.3	states/eV per cell
SG	Pm-3m, No. 221
formation energy	4.62	eV per formula unit
E_tot	-32.6	eV/cell
M_tot	1.98	μB per formula unit
energy above the most stable polymorph in this dataset	0.000	eV per atom